# 1
! ScTc2Pt | the Alexandria database | GGA-PBE | relaxed; values from VASP
! Space-group type = P2/m, No. 10
! Magnetic moment = 0.00 μB per cell
! E = -8.424 eV per atom
! Calculated volume = 16.3 Å³ per atom
! ρ = 11.1 Mg/m³
&SYSTEM
  ibrav = 0, nat = 4, ntyp = 3
/
ATOMIC_SPECIES
Pt 195.08 Pt.upf
Sc 44.96 Sc.upf
Tc 98.00 Tc.upf
ATOMIC_POSITIONS crystal
Pt 0.5000 0.2500 0.2500
Sc 0.5000 0.7500 0.7500
Tc 0.0000 0.0671 0.9897
Tc 0.0000 0.4329 0.5103
CELL_PARAMETERS angstrom
4.8296 0.0000 0.0000
0.0000 2.8383 0.0093
0.0000 0.3737 4.7589



# 2
! ScTc4Pt | the Alexandria database | GGA-PBE | relaxed; values from VASP
! Space-group type = F-43m, No. 216
! Magnetic moment = 0.00 μB per cell
! E = -8.999 eV per atom
! Calculated volume = 16.2 Å³ per atom
! ρ = 10.8 Mg/m³
&SYSTEM
  ibrav = 0, nat = 6, ntyp = 3
/
ATOMIC_SPECIES
Sc 44.96 Sc.upf
Tc 98.00 Tc.upf
Pt 195.08 Pt.upf
ATOMIC_POSITIONS crystal
Sc 0.0000 0.0000 0.0000
Tc 0.8739 0.3754 0.3754
Tc 0.3754 0.3754 0.8739
Tc 0.3754 0.8739 0.3754
Tc 0.3754 0.3754 0.3754
Pt 0.7500 0.7500 0.7500
CELL_PARAMETERS angstrom
-0.6378 -0.8639 5.0465
-0.4288 3.9732 3.2635
-4.5346 1.0214 2.2393



# 3
! ScTc2Pt | the Alexandria database | GGA-PBE | relaxed; values from VASP
! Space-group type = I4/mmm, No. 139
! Magnetic moment = 0.00 μB per cell
! E = -8.505 eV per atom
! Calculated volume = 15.9 Å³ per atom
! ρ = 11.4 Mg/m³
&SYSTEM
  ibrav = 0, nat = 4, ntyp = 3
/
ATOMIC_SPECIES
Pt 195.08 Pt.upf
Sc 44.96 Sc.upf
Tc 98.00 Tc.upf
ATOMIC_POSITIONS crystal
Pt 0.7500 0.2500 0.5000
Sc 0.2500 0.7500 0.5000
Tc 0.0000 0.0000 0.0000
Tc 0.5000 0.5000 0.0000
CELL_PARAMETERS angstrom
5.0532 0.0014 -0.0195
2.0806 4.6050 0.0195
-3.5571 -2.3184 2.7400



# 4
! ScTc2Pt2 | the Alexandria database | GGA-PBE | relaxed; values from VASP
! Space-group type = P4/mbm, No. 127
! Magnetic moment = 0.54 μB per cell
! E = -8.048 eV per atom
! Calculated volume = 16.7 Å³ per atom
! ρ = 12.6 Mg/m³
&SYSTEM
  ibrav = 0, nat = 10, ntyp = 3
/
ATOMIC_SPECIES
Sc 44.96 Sc.upf
Tc 98.00 Tc.upf
Pt 195.08 Pt.upf
ATOMIC_POSITIONS crystal
Sc 0.0000 0.0000 0.0000
Sc 0.5000 0.5000 0.0000
Tc 0.3877 0.8877 0.0000
Tc 0.8877 0.6123 0.0000
Tc 0.6123 0.1123 0.0000
Tc 0.1123 0.3877 0.0000
Pt 0.1838 0.6838 0.5000
Pt 0.6838 0.8162 0.5000
Pt 0.8162 0.3162 0.5000
Pt 0.3162 0.1838 0.5000
CELL_PARAMETERS angstrom
-3.6899 5.7094 3.7235
-6.8144 -2.9924 -2.1646
-0.0562 -1.5409 2.3070



# 5
! ScTc2Pt | the Alexandria database | GGA-PBE | relaxed; values from VASP
! Space-group type = Pm, No. 6
! Magnetic moment = 0.00 μB per cell
! E = -8.575 eV per atom
! Calculated volume = 16.4 Å³ per atom
! ρ = 11.1 Mg/m³
&SYSTEM
  ibrav = 0, nat = 4, ntyp = 3
/
ATOMIC_SPECIES
Pt 195.08 Pt.upf
Sc 44.96 Sc.upf
Tc 98.00 Tc.upf
ATOMIC_POSITIONS crystal
Pt 0.0000 0.4910 0.5111
Sc 0.5000 0.7949 0.7348
Tc 0.0000 0.9843 0.0373
Tc 0.5000 0.2298 0.2168
CELL_PARAMETERS angstrom
-2.9073 -1.3396 2.1272
1.9089 -1.2654 1.8121
1.8461 3.7166 4.8636



# 6
! Sc5TcPt2 | the Alexandria database | GGA-PBE | relaxed; values from VASP
! Space-group type = Pbam, No. 55
! Magnetic moment = 0.00 μB per cell
! E = -7.545 eV per atom
! Calculated volume = 18.9 Å³ per atom
! ρ = 7.8 Mg/m³
&SYSTEM
  ibrav = 0, nat = 32, ntyp = 3
/
ATOMIC_SPECIES
Sc 44.96 Sc.upf
Tc 98.00 Tc.upf
Pt 195.08 Pt.upf
ATOMIC_POSITIONS crystal
Sc 0.0000 0.2500 0.5000
Sc 0.0000 0.7500 0.5000
Sc 0.5000 0.7500 0.0000
Sc 0.5000 0.2500 0.0000
Sc 0.3323 0.0000 0.6134
Sc 0.6677 0.0000 0.3866
Sc 0.8323 0.0000 0.8866
Sc 0.6677 0.5000 0.3866
Sc 0.1677 0.0000 0.1134
Sc 0.3323 0.5000 0.6134
Sc 0.1677 0.5000 0.1134
Sc 0.8323 0.5000 0.8866
Sc 0.1456 0.2500 0.7787
Sc 0.8544 0.7500 0.2213
Sc 0.6456 0.7500 0.7213
Sc 0.3544 0.2500 0.2787
Sc 0.6457 0.2500 0.7213
Sc 0.3543 0.7500 0.2787
Sc 0.1457 0.7500 0.7786
Sc 0.8543 0.2500 0.2214
Tc 0.5000 0.2500 0.5000
Tc 0.5000 0.7500 0.5000
Tc 0.0000 0.7500 0.0000
Tc 0.0000 0.2500 0.0000
Pt 0.3351 0.5000 0.8780
Pt 0.6649 0.5000 0.1220
Pt 0.8351 0.5000 0.6220
Pt 0.6649 0.0000 0.1220
Pt 0.1649 0.5000 0.3780
Pt 0.3351 0.0000 0.8780
Pt 0.1649 0.0000 0.3780
Pt 0.8351 0.0000 0.6220
CELL_PARAMETERS angstrom
5.8577 0.0000 0.0000
0.0000 9.1934 0.0000
0.0000 0.0000 11.2459



| no. | DFT formation energy (eV per formula unit) |
| --- | --- |
| 1 | -0.59 |
| 2 | -0.16 |
| 3 | -0.91 |
| 4 | -1.09 |
| 5 | -1.20 |
| 6 | -6.25 |